[1]
DyHo3 | PBE | optimized geometry

abc: 3.601 11.191 6.227
angles: 90.00 90.00 90.00
Fractional positions:
1 Dy 0.000 0.000 0.000
2 Dy 0.500 0.500 0.500
3 Ho 0.000 0.250 0.668
4 Ho 0.000 0.500 0.000
5 Ho 0.000 0.750 0.668
6 Ho 0.500 0.000 0.500
7 Ho 0.500 0.250 0.168
8 Ho 0.500 0.750 0.168

Summary:
The total moment comes out at 0.00 μB per cell. As for the space group: Imm2 (44). As for the energy above the most stable polymorph in this dataset: 1 meV/atom.

---

[2]
Zn2BrO2 | PBE | optimized geometry

abc: 3.926 3.926 12.421
angles: 90.00 90.00 90.00
Fractional positions:
1 Zn 0.000 0.000 0.221
2 Zn 0.000 0.000 0.779
3 Zn 0.500 0.500 0.279
4 Zn 0.500 0.500 0.721
5 Br 0.000 0.000 0.500
6 Br 0.500 0.500 0.000
7 O 0.000 0.500 0.250
8 O 0.000 0.500 0.750
9 O 0.500 0.000 0.250
10 O 0.500 0.000 0.750

Summary:
The total moment comes out at 1.34 μB per cell. As for the space group: I4/mmm (139). The value obtained for the uncorrected formation energy is -0.755 eV/atom. As for the energy above the most stable polymorph in this dataset: 0 meV/atom.

---

[3]
Pm2BIr | PBE | optimized geometry

abc: 9.217 5.590 6.971
angles: 90.00 112.22 90.00
Fractional positions:
1 Pm 0.153 0.250 0.077
2 Pm 0.153 0.250 0.577
3 Pm 0.274 0.722 0.387
4 Pm 0.274 0.778 0.887
5 Pm 0.726 0.222 0.113
6 Pm 0.726 0.278 0.613
7 Pm 0.847 0.750 0.423
8 Pm 0.847 0.750 0.923
9 B 0.399 0.245 0.950
10 B 0.399 0.255 0.450
11 B 0.601 0.745 0.550
12 B 0.601 0.755 0.050
13 Ir 0.500 0.001 0.275
14 Ir 0.500 0.499 0.775
15 Ir 0.500 0.501 0.225
16 Ir 0.500 0.999 0.725

Summary:
The total moment comes out at 0.00 μB per cell. For the final energy, the calculation gives -6.592 eV/atom. As for the space group: P2_1/c (14).

---

[4]
PmDy4Th | PBE | optimized geometry

abc: 8.472 8.472 6.574
angles: 109.87 109.87 102.91
Fractional positions:
1 Pm 0.182 0.818 0.750
2 Pm 0.818 0.182 0.250
3 Dy 0.148 0.521 0.252
4 Dy 0.259 0.403 0.751
5 Dy 0.403 0.259 0.251
6 Dy 0.479 0.852 0.248
7 Dy 0.521 0.148 0.752
8 Dy 0.597 0.741 0.749
9 Dy 0.741 0.597 0.249
10 Dy 0.852 0.479 0.748
11 Th 0.070 0.930 0.250
12 Th 0.930 0.070 0.750

Summary:
The total moment comes out at 0.00 μB per cell. As for the space group: C2/c (15). As for the energy above the most stable polymorph in this dataset: 27 meV/atom.

---

[5]
Zn4Cu2Ag | PBE | optimized geometry

abc: 8.508 8.508 8.508
angles: 60.00 60.00 60.00
Fractional positions:
1 Zn 0.000 0.000 0.000
2 Zn 0.000 0.000 0.500
3 Zn 0.000 0.500 0.000
4 Zn 0.121 0.121 0.629
5 Zn 0.121 0.629 0.121
6 Zn 0.121 0.629 0.629
7 Zn 0.371 0.371 0.879
8 Zn 0.371 0.879 0.371
9 Zn 0.371 0.879 0.879
10 Zn 0.500 0.000 0.000
11 Zn 0.629 0.121 0.121
12 Zn 0.629 0.121 0.629
13 Zn 0.629 0.629 0.121
14 Zn 0.879 0.371 0.371
15 Zn 0.879 0.371 0.879
16 Zn 0.879 0.879 0.371
17 Cu 0.248 0.751 0.751
18 Cu 0.249 0.249 0.249
19 Cu 0.249 0.249 0.752
20 Cu 0.249 0.752 0.249
21 Cu 0.751 0.248 0.751
22 Cu 0.751 0.751 0.248
23 Cu 0.751 0.751 0.751
24 Cu 0.752 0.249 0.249
25 Ag 0.000 0.500 0.500
26 Ag 0.500 0.000 0.500
27 Ag 0.500 0.500 0.000
28 Ag 0.500 0.500 0.500

Summary:
The total moment comes out at 0.00 μB per cell. For the final energy, the calculation gives -2.222 eV/atom. As for the space group: Fd-3m (227).

---

[6]
Nd2TmGa3Pt4 | PBE | optimized geometry

abc: 4.241 4.241 11.430
angles: 90.00 90.00 90.00
Fractional positions:
1 Nd 0.000 0.500 0.229
2 Nd 0.500 0.000 0.771
3 Tm 0.000 0.000 0.500
4 Ga 0.000 0.500 0.875
5 Ga 0.500 0.000 0.125
6 Ga 0.500 0.500 0.500
7 Pt 0.000 0.000 0.000
8 Pt 0.000 0.500 0.655
9 Pt 0.500 0.000 0.345
10 Pt 0.500 0.500 0.000

Summary:
The total moment comes out at 0.00 μB per cell. For the final energy, the calculation gives -5.722 eV/atom. As for the space group: P-4m2 (115).

---

[7]
TaBi3S6 | PBE | optimized geometry

abc: 9.037 9.037 7.018
angles: 90.00 90.00 107.07
Fractional positions:
1 Ta 0.179 0.821 0.500
2 Ta 0.821 0.179 0.000
3 Bi 0.074 0.292 0.424
4 Bi 0.292 0.074 0.924
5 Bi 0.422 0.578 0.923
6 Bi 0.578 0.422 0.423
7 Bi 0.708 0.926 0.424
8 Bi 0.926 0.708 0.924
9 S 0.023 0.977 0.571
10 S 0.074 0.581 0.636
11 S 0.212 0.788 0.181
12 S 0.327 0.336 0.184
13 S 0.336 0.327 0.684
14 S 0.419 0.926 0.636
15 S 0.581 0.074 0.136
16 S 0.664 0.673 0.184
17 S 0.673 0.664 0.684
18 S 0.788 0.212 0.681
19 S 0.926 0.419 0.136
20 S 0.977 0.023 0.071

Summary:
The total moment comes out at 0.00 μB per cell. As for the space group: Cmc2_1 (36). The value obtained for the uncorrected formation energy is -0.371 eV/atom.

---

[8]
AcCdP | PBE | optimized geometry

abc: 4.377 12.827 5.994
angles: 90.00 90.00 90.00
Fractional positions:
1 Ac 0.000 0.151 0.250
2 Ac 0.000 0.849 0.750
3 Ac 0.500 0.349 0.750
4 Ac 0.500 0.651 0.250
5 Cd 0.000 0.443 0.250
6 Cd 0.000 0.557 0.750
7 Cd 0.500 0.057 0.750
8 Cd 0.500 0.943 0.250
9 P 0.000 0.184 0.750
10 P 0.000 0.816 0.250
11 P 0.500 0.316 0.250
12 P 0.500 0.684 0.750

Summary:
The total moment comes out at 0.00 μB per cell. As for the space group: Cmcm (63). As for the energy above the most stable polymorph in this dataset: 0 meV/atom.

---

[9]
TbSm4Ho3 | PBE | optimized geometry

abc: 11.443 7.298 6.302
angles: 90.00 90.00 90.00
Fractional positions:
1 Tb 0.000 0.123 0.000
2 Tb 0.500 0.877 0.500
3 Sm 0.000 0.373 0.500
4 Sm 0.000 0.627 0.998
5 Sm 0.249 0.627 0.333
6 Sm 0.251 0.373 0.833
7 Sm 0.500 0.373 0.498
8 Sm 0.500 0.627 0.000
9 Sm 0.749 0.373 0.833
10 Sm 0.751 0.627 0.333
11 Ho 0.000 0.878 0.500
12 Ho 0.250 0.123 0.332
13 Ho 0.250 0.877 0.832
14 Ho 0.500 0.122 0.000
15 Ho 0.750 0.123 0.332
16 Ho 0.750 0.877 0.832

Summary:
The total moment comes out at 0.00 μB per cell. As for the space group: Pmn2_1 (31). As for the energy above the most stable polymorph in this dataset: 0 meV/atom.

---

[10]
PrSi2IrOs | PBE | optimized geometry

abc: 4.185 4.185 10.035
angles: 90.00 90.00 90.00
Fractional positions:
1 Pr 0.000 0.000 0.000
2 Pr 0.500 0.500 0.500
3 Si 0.000 0.000 0.370
4 Si 0.000 0.000 0.630
5 Si 0.500 0.500 0.130
6 Si 0.500 0.500 0.870
7 Ir 0.000 0.500 0.750
8 Ir 0.500 0.000 0.250
9 Os 0.000 0.500 0.250
10 Os 0.500 0.000 0.750

Summary:
The total moment comes out at 0.00 μB per cell. As for the space group: I-4m2 (119). The value obtained for the uncorrected formation energy is -0.882 eV/atom.

---

[11]
In3AgI4 | PBE | optimized geometry

abc: 8.281 9.908 8.371
angles: 90.00 107.66 90.00
Fractional positions:
1 In 0.000 0.113 0.250
2 In 0.000 0.368 0.750
3 In 0.000 0.632 0.250
4 In 0.000 0.887 0.750
5 In 0.500 0.363 0.250
6 In 0.500 0.637 0.750
7 Ag 0.500 0.208 0.750
8 Ag 0.500 0.792 0.250
9 I 0.251 0.367 0.501
10 I 0.251 0.633 0.001
11 I 0.279 0.127 0.959
12 I 0.279 0.873 0.459
13 I 0.721 0.127 0.541
14 I 0.721 0.873 0.041
15 I 0.749 0.367 0.999
16 I 0.749 0.633 0.499

Summary:
The total moment comes out at 0.00 μB per cell. As for the space group: P2/c (13). The value obtained for the uncorrected formation energy is -0.364 eV/atom. As for the energy above the most stable polymorph in this dataset: 8 meV/atom.

---

[12]
CaCr2Ru | PBE | optimized geometry

abc: 3.692 3.692 9.093
angles: 90.00 90.00 90.00
Fractional positions:
1 Ca 0.000 0.000 0.000
2 Ca 0.500 0.500 0.500
3 Cr 0.000 0.500 0.250
4 Cr 0.000 0.500 0.750
5 Cr 0.500 0.000 0.250
6 Cr 0.500 0.000 0.750
7 Ru 0.000 0.000 0.500
8 Ru 0.500 0.500 0.000

Summary:
The total moment comes out at 0.00 μB per cell. As for the space group: I4/mmm (139). As for the energy above the most stable polymorph in this dataset: 577 meV/atom.

---

The records above give, respectively, density of states at the Fermi level values of 13.6; 8.0; 10.7; 17.7; 11.6; 6.2; 8.7; 0.9; 28.4; 4.3; 0.0; 11.3 states/eV/cell.